(1)
Material: Na2Te3O10
Method: DFT, PBE-GGA
State: optimized geometry

```
30
Lattice="9.1251 -3.0227 0.0000 9.1251 3.0227 0.0000 -3.2482 0.0000 7.5892" Properties=species:S:1:pos:R:3 pbc="T T T"
Na 1.6606 0.0000 1.4285
Na 1.0280 0.0000 6.8930
Na 13.9740 0.0000 0.6962
Na 13.3415 0.0000 6.1607
Te 7.5010 1.5224 3.7946
Te 4.2039 0.0000 3.6212
Te 4.2983 0.0000 7.4817
Te 10.7038 0.0000 0.1075
Te 10.7982 0.0000 3.9680
Te 7.5010 -1.5224 3.7946
O 2.9385 1.5113 3.7946
O -1.7305 0.0000 5.0921
O 6.4091 1.4270 0.0418
O 5.5836 1.5172 3.6389
O 4.0764 0.0000 1.8037
O 9.1251 1.2519 0.0000
O 9.4185 1.5172 3.9503
O 4.4457 0.0000 5.5380
O 8.5930 1.4270 7.5474
O 7.5972 0.0000 2.4680
O 2.9385 -1.5113 3.7946
O 7.4049 0.0000 5.1211
O 6.4091 -1.4270 0.0418
O 10.5564 0.0000 2.0512
O 5.5836 -1.5172 3.6389
O 9.1251 -1.2519 0.0000
O 10.9256 0.0000 5.7855
O 9.4185 -1.5172 3.9503
O 8.5930 -1.4270 7.5474
O 16.7325 0.0000 2.4971
```

Values from the calculation:
Fermi-level density of states: 0.236 states/eV/atom
magnetization: 0.0 μB per cell
crystal system: monoclinic
mass density: 4.67 g/cm³
uncorrected formation energy: -0.9807 eV per atom

=====

(2)
Material: Na6Te2O
Method: DFT, PBE-GGA
State: optimized geometry

```
9
Lattice="4.2227 0.0000 0.0000 0.0000 6.5747 3.9369 0.0000 -6.5747 3.9369" Properties=species:S:1:pos:R:3 pbc="T T T"
Na 0.0000 0.0000 0.0000
Na 0.0000 -1.4572 5.2679
Na 0.0000 1.4572 5.2679
Na 2.1114 -4.1797 3.7089
Na 2.1114 0.0000 2.7588
Na 2.1114 4.1797 3.7089
Te 0.0000 -2.2188 2.2552
Te 0.0000 2.2188 2.2552
O 2.1114 0.0000 6.4693
```

Values from the calculation:
Fermi-level density of states: 0.008 states/eV/atom
magnetization: 0.0 μB per cell
crystal system: orthorhombic
mass density: 3.11 g/cm³
energy relative to the lowest polymorph listed for this composition: 138.6 meV/atom
uncorrected formation energy: -0.8654 eV per atom

=====

(3)
Material: NaTe3O
Method: DFT, PBE-GGA
State: optimized geometry

```
5
Lattice="5.3309 0.0000 0.0000 0.0000 5.3309 0.0000 0.0000 0.0000 5.3309" Properties=species:S:1:pos:R:3 pbc="T T T"
Na 0.0000 0.0000 0.0000
Te 0.0000 0.0000 2.6655
Te 0.0000 2.6655 0.0000
Te 2.6655 0.0000 0.0000
O 2.6655 2.6655 2.6655
```

Values from the calculation:
Fermi-level density of states: 2.402 states/eV/atom
magnetization: 0.0 μB per cell
crystal system: cubic
mass density: 4.62 g/cm³
energy relative to the lowest polymorph listed for this composition: 1334.3 meV/atom
uncorrected formation energy: 1.1449 eV per atom

=====

(4)
Material: NaTe2O
Method: DFT, PBE-GGA
State: optimized geometry

```
4
Lattice="1.7391 1.0041 9.3249 -1.7391 1.0041 9.3249 0.0000 -2.0082 9.3249" Properties=species:S:1:pos:R:3 pbc="T T T"
Na 0.0000 0.0000 0.0000
Te 0.0000 0.0000 11.9401
Te 0.0000 0.0000 16.0347
O 0.0000 0.0000 13.9874
```

Values from the calculation:
Fermi-level density of states: 0.761 states/eV/atom
magnetization: 0.0 μB per cell
crystal system: trigonal
mass density: 5.00 g/cm³
uncorrected formation energy: -0.0643 eV per atom

=====

(5)
Material: Na2Te2O7
Method: DFT, PBE-GGA
State: optimized geometry

```
11
Lattice="3.2471 -3.7448 0.0000 3.2471 3.7448 0.0000 0.0000 0.0000 5.7046" Properties=species:S:1:pos:R:3 pbc="T T T"
Na 1.6111 0.0000 0.0000
Na 4.8831 0.0000 0.0000
Te 3.2471 2.0834 2.8523
Te 3.2471 -2.0834 2.8523
O 0.0000 0.0000 1.6621
O 0.0000 0.0000 4.0425
O 1.6235 1.8724 1.5870
O 1.6235 1.8724 4.1176
O 1.6235 -1.8724 1.5870
O 1.6235 -1.8724 4.1176
O 3.2471 0.0000 2.8523
```

Values from the calculation:
Fermi-level density of states: 0.389 states/eV/atom
magnetization: 0.0 μB per cell
crystal system: orthorhombic
mass density: 4.95 g/cm³
uncorrected formation energy: -0.9512 eV per atom

=====

(6)
Material: NaTe2O6
Method: DFT, PBE-GGA
State: optimized geometry

```
9
Lattice="5.4287 0.0000 0.0000 -2.7143 4.7014 0.0000 0.0000 0.0000 5.2678" Properties=species:S:1:pos:R:3 pbc="T T T"
Na 0.0000 0.0000 0.0000
Te 0.0000 3.1343 2.6339
Te 2.7143 1.5671 2.6339
O -1.0300 1.7839 3.7342
O -1.6844 2.9174 1.5336
O 2.0599 0.0000 3.7342
O 1.0300 1.7839 1.5336
O 3.3688 0.0000 1.5336
O 1.6844 2.9174 3.7342
```

Values from the calculation:
Fermi-level density of states: 0.272 states/eV/atom
magnetization: 0.0 μB per cell
crystal system: trigonal
mass density: 4.62 g/cm³
energy relative to the lowest polymorph listed for this composition: 0.0 meV/atom
uncorrected formation energy: -1.0891 eV per atom